Entry from the Alexandria database: crystalline AcPmEr2 at its relaxed geometry (GGA-PBE).

Calculated values
For the volume, the calculation gives 139 Å³/cell. The calculation puts the energy above the most stable polymorph in this dataset at 0.0045 eV/atom. The space-group type is P4/mmm. The energy of formation is 56 meV per atom.

Lattice parameters (Å, degrees): 3.7416 3.7416 9.9245 90.00 90.00 90.00
With the nearest neighbours (Å) after each atom.
Positions (direct):
Ac 0.0000 0.0000 0.0000  8 Er 3.70, 4 Ac 3.74
Pm 0.0000 0.0000 0.5000  8 Er 3.55, 4 Pm 3.74
Er 0.5000 0.5000 0.2612  4 Pm 3.55, 4 Ac 3.70, 4 Er 3.74
Er 0.5000 0.5000 0.7388  4 Pm 3.55, 4 Ac 3.70, 4 Er 3.74

Entry from the Alexandria database: crystalline La3YErTm at its relaxed geometry (GGA-PBE).

Calculated values
For the volume, the calculation gives 408 Å³/cell. The space-group type is P2_1/m. The energy of formation is 36 meV per atom.

Lattice parameters (Å, degrees): 8.0665 5.1934 10.2975 90.00 108.77 90.00
With the nearest neighbours (Å) after each atom.
Positions (direct):
La 0.1688 0.2500 0.0425  3 Tm 3.61-3.65, 1 Er 3.62, 3 Y 3.65-3.67, 5 La 3.66-3.67
La 0.1697 0.2500 0.5418  3 Er 3.58-3.62, 1 Tm 3.60, 3 Y 3.65-3.68, 5 La 3.66-3.67
La 0.1742 0.7500 0.7940  3 Tm 3.57-3.61, 1 Er 3.61, 6 La 3.66-3.67, 2 Y 3.71
La 0.8258 0.2500 0.2060  3 Tm 3.57-3.61, 1 Er 3.61, 6 La 3.66-3.67, 2 Y 3.71
La 0.8303 0.7500 0.4582  3 Er 3.58-3.62, 1 Tm 3.60, 3 Y 3.65-3.68, 5 La 3.66-3.67
La 0.8312 0.7500 0.9575  3 Tm 3.61-3.65, 1 Er 3.62, 3 Y 3.65-3.67, 5 La 3.66-3.67
Y 0.1731 0.7500 0.2934  1 Tm 3.56, 3 Er 3.56-3.60, 8 La 3.65-3.71
Y 0.8269 0.2500 0.7066  1 Tm 3.56, 3 Er 3.56-3.60, 8 La 3.65-3.71
Er 0.5001 0.2500 0.3780  3 Y 3.56-3.60, 5 La 3.58-3.62, 2 Er 3.61, 2 Tm 3.66
Er 0.4999 0.7500 0.6220  3 Y 3.56-3.60, 5 La 3.58-3.62, 2 Er 3.61, 2 Tm 3.66
Tm 0.4968 0.7500 0.1268  1 Y 3.56, 7 La 3.57-3.65, 2 Er 3.66, 2 Tm 3.70
Tm 0.5032 0.2500 0.8732  1 Y 3.56, 7 La 3.57-3.65, 2 Er 3.66, 2 Tm 3.70

Entry from the Alexandria database: crystalline Li2MnZnS at its relaxed geometry (GGA-PBE).

Calculated values
For the volume, the calculation gives 98 Å³/cell. Its formation energy without anion corrections is 0.0284 eV/atom. The space-group type is P4/mmm.

Lattice parameters (Å, degrees): 4.4385 4.4385 4.9651 90.00 90.00 90.00
With the nearest neighbours (Å) after each atom.
Positions (direct):
Li 0.0000 0.5000 0.0000  2 S 2.22
Li 0.5000 0.0000 0.0000  2 S 2.22
Mn 0.0000 0.0000 0.5000  4 Zn 3.14, 8 Li 3.33
Zn 0.5000 0.5000 0.5000  2 S 2.48
S 0.5000 0.5000 0.0000  4 Li 2.22, 2 Zn 2.48

Entry from the Alexandria database: crystalline Ca2CuBiF at its relaxed geometry (GGA-PBE).

Calculated values
For the volume, the calculation gives 130 Å³/cell. The calculation puts the energy above the most stable polymorph in this dataset at 0.4911 eV/atom. Its formation energy without anion corrections is -0.7381 eV/atom. The space-group type is P4/mmm.

Lattice parameters (Å, degrees): 5.7036 5.7036 4.0096 90.00 90.00 90.00
With the nearest neighbours (Å) after each atom.
Positions (direct):
Ca 0.0000 0.5000 0.0000  2 Cu 2.85
Ca 0.5000 0.0000 0.0000  2 Cu 2.85
Cu 0.0000 0.0000 0.0000  2 F 2.00
Bi 0.5000 0.5000 0.5000  8 Ca 3.49
F 0.0000 0.0000 0.5000  2 Cu 2.00

Entry from the Alexandria database: crystalline Dy2PaAs3 at its relaxed geometry (GGA-PBE).

Calculated values
For the volume, the calculation gives 293 Å³/cell. The space-group type is Immm. The energy of formation is -1373 meV per atom.

Lattice parameters (Å, degrees): 4.1133 5.7954 12.3004 90.00 90.00 90.00
With the nearest neighbours (Å) after each atom.
Positions (direct):
Dy 0.0000 0.0000 0.1676  6 As 2.90-2.92
Dy 0.0000 0.0000 0.8324  6 As 2.90-2.92
Dy 0.5000 0.5000 0.3324  6 As 2.90-2.92
Dy 0.5000 0.5000 0.6676  6 As 2.90-2.92
Pa 0.0000 0.0000 0.5000  6 As 2.88-2.90
Pa 0.5000 0.5000 0.0000  6 As 2.88-2.90
As 0.0000 0.5000 0.1639  2 Pa 2.88, 4 Dy 2.90-2.92
As 0.0000 0.5000 0.5000  2 Pa 2.90, 4 Dy 2.91
As 0.0000 0.5000 0.8361  2 Pa 2.88, 4 Dy 2.90-2.92
As 0.5000 0.0000 0.0000  2 Pa 2.90, 4 Dy 2.91
As 0.5000 0.0000 0.3361  2 Pa 2.88, 4 Dy 2.90-2.92
As 0.5000 0.0000 0.6639  2 Pa 2.88, 4 Dy 2.90-2.92

Entry from the Alexandria database: crystalline YPtAu2 at its relaxed geometry (GGA-PBE).

Calculated values
For the volume, the calculation gives 153 Å³/cell. The calculation puts the energy above the most stable polymorph in this dataset at 0.0248 eV/atom. The space-group type is I-4m2. The energy of formation is -747 meV per atom.

Lattice parameters (Å, degrees): 4.1949 4.1949 8.7198 90.00 90.00 90.00
With the nearest neighbours (Å) after each atom.
Positions (direct):
Y 0.0000 0.0000 0.0000  8 Au 2.97-3.03, 4 Pt 3.03
Y 0.5000 0.5000 0.5000  8 Au 2.97-3.03, 4 Pt 3.03
Pt 0.0000 0.5000 0.7500  8 Au 2.97-3.03, 4 Y 3.03
Pt 0.5000 0.0000 0.2500  8 Au 2.97-3.03, 4 Y 3.03
Au 0.0000 0.0000 0.5000  4 Y 2.97, 4 Au 3.03, 4 Pt 3.03
Au 0.0000 0.5000 0.2500  4 Pt 2.97, 4 Y 3.03, 4 Au 3.03
Au 0.5000 0.0000 0.7500  4 Pt 2.97, 4 Au 3.03, 4 Y 3.03
Au 0.5000 0.5000 0.0000  4 Y 2.97, 4 Pt 3.03, 4 Au 3.03

Entry from the Alexandria database: crystalline TcSbRu2 at its relaxed geometry (GGA-PBE).

Calculated values
For the volume, the calculation gives 64 Å³/cell. Its formation energy without anion corrections is 0.3414 eV/atom. The space-group type is P4/mmm.

Lattice parameters (Å, degrees): 4.6053 4.6053 2.9982 90.00 90.00 90.00
With the nearest neighbours (Å) after each atom.
Positions (direct):
Tc 0.0000 0.0000 0.0000  8 Ru 2.75, 2 Tc 3.00
Sb 0.5000 0.5000 0.0000  8 Ru 2.75, 2 Sb 3.00
Ru 0.0000 0.5000 0.5000  4 Sb 2.75, 4 Tc 2.75, 2 Ru 3.00
Ru 0.5000 0.0000 0.5000  4 Sb 2.75, 4 Tc 2.75, 2 Ru 3.00

Entry from the Alexandria database: crystalline SrPrAu10 at its relaxed geometry (GGA-PBE).

Calculated values
For the volume, the calculation gives 261 Å³/cell. The space-group type is Pmmm. The energy of formation is -425 meV per atom.

Lattice parameters (Å, degrees): 4.7237 5.6261 9.8149 90.00 90.00 90.00
With the nearest neighbours (Å) after each atom.
Positions (direct):
Sr 0.0000 0.0000 0.0000  6 Au 3.27-3.31
Pr 0.0000 0.5000 0.5000  6 Au 3.23-3.24
Au 0.0000 0.0000 0.3375  7 Au 2.85-3.19
Au 0.0000 0.0000 0.6625  7 Au 2.85-3.19
Au 0.0000 0.5000 0.1701  6 Au 2.86-2.89
Au 0.0000 0.5000 0.8299  6 Au 2.86-2.89
Au 0.5000 0.0000 0.5000  8 Au 2.81-2.85
Au 0.5000 0.2521 0.2534  8 Au 2.79-2.88
Au 0.5000 0.2521 0.7466  8 Au 2.79-2.88
Au 0.5000 0.5000 0.0000  8 Au 2.85-2.89
Au 0.5000 0.7479 0.2534  8 Au 2.79-2.88
Au 0.5000 0.7479 0.7466  8 Au 2.79-2.88

Entry from the Alexandria database: crystalline NaIrSeN2 at its relaxed geometry (GGA-PBE).

Calculated values
For the volume, the calculation gives 96 Å³/cell. The calculation puts the energy above the most stable polymorph in this dataset at 2.0867 eV/atom. Its formation energy without anion corrections is 2.5637 eV/atom. The space-group type is P4/mmm.

Lattice parameters (Å, degrees): 4.0853 4.0853 5.7283 90.00 90.00 90.00
With the nearest neighbours (Å) after each atom.
Positions (direct):
Na 0.0000 0.0000 0.0000  4 N 2.04
Ir 0.5000 0.5000 0.5000  4 Se 2.89
Se 0.0000 0.0000 0.5000  2 Na 2.86, 4 Ir 2.89
N 0.0000 0.5000 0.0000  2 Na 2.04
N 0.5000 0.0000 0.0000  2 Na 2.04

Entry from the Alexandria database: crystalline La2AlCl at its relaxed geometry (GGA-PBE).

Calculated values
For the volume, the calculation gives 594 Å³/cell. The calculation puts the energy above the most stable polymorph in this dataset at 0.4768 eV/atom. Its formation energy without anion corrections is -0.4686 eV/atom. The space-group type is I-42d.

Lattice parameters (Å, degrees): 6.1275 6.1275 15.8263 90.00 90.00 90.00
With the nearest neighbours (Å) after each atom.
Positions (direct):
La 0.2323 0.2500 0.1250  2 Cl 2.88, 2 Al 2.99
La 0.2500 0.7323 0.3750  2 Cl 2.88, 2 Al 2.99
La 0.2500 0.7677 0.8750  2 Cl 2.88, 2 Al 2.99
La 0.2677 0.2500 0.6250  2 Cl 2.88, 2 Al 2.99
La 0.7323 0.7500 0.6250  2 Cl 2.88, 2 Al 2.99
La 0.7500 0.2323 0.8750  2 Cl 2.88, 2 Al 2.99
La 0.7500 0.2677 0.3750  2 Cl 2.88, 2 Al 2.99
La 0.7677 0.7500 0.1250  2 Cl 2.88, 2 Al 2.99
Al 0.0000 0.0000 0.5000  4 La 2.99
Al 0.0000 0.5000 0.7500  4 La 2.99
Al 0.5000 0.0000 0.2500  4 La 2.99
Al 0.5000 0.5000 0.0000  4 La 2.99
Cl 0.0000 0.0000 0.0000  4 La 2.88
Cl 0.0000 0.5000 0.2500  4 La 2.88
Cl 0.5000 0.0000 0.7500  4 La 2.88
Cl 0.5000 0.5000 0.5000  4 La 2.88